[1]
Compound: Pm8HRh3I4
Source: the Alexandria database
Functional: PBE
Structure: relaxed

Properties
Calculated total energy = -82.8 eV for the cell shown
Total moment = 0.00 μB per cell

Unit cell a=8.208 b=8.208 c=9.356 alpha=115.96 beta=115.96 gamma=60.10
Atoms (fractional coordinates):
1 Pm 0.226 0.226 0.683
2 Pm 0.227 0.729 0.684
3 Pm 0.271 0.271 0.314
4 Pm 0.271 0.773 0.316
5 Pm 0.729 0.227 0.684
6 Pm 0.729 0.729 0.686
7 Pm 0.773 0.271 0.316
8 Pm 0.774 0.774 0.317
9 H 0.000 0.000 0.500
10 Rh 0.000 0.500 0.500
11 Rh 0.500 0.000 0.500
12 Rh 0.500 0.500 0.500
13 I 0.000 0.000 0.000
14 I 0.000 0.500 0.000
15 I 0.500 0.000 0.000
16 I 0.500 0.500 0.000

=====

[2]
Compound: TcGeS2Cl
Source: the Alexandria database
Functional: PBE
Structure: relaxed

Properties
ΔE to the lowest computed polymorph = 0 meV/atom
Calculated total energy = -24.0 eV for the cell shown
Total moment = 0.94 μB per cell
Formation energy without anion corrections = 0.21 eV per atom

Unit cell a=4.615 b=4.615 c=4.913 alpha=90.00 beta=90.00 gamma=90.00
Atoms (fractional coordinates):
1 Tc 0.000 0.000 0.000
2 Ge 0.500 0.500 0.500
3 S 0.000 0.500 0.000
4 S 0.500 0.000 0.000
5 Cl 0.000 0.000 0.500

=====

[3]
Compound: CsRbS
Source: the Alexandria database
Functional: PBE
Structure: relaxed

Properties
Calculated total energy = -8.4 eV for the cell shown
Total moment = 0.00 μB per cell
Formation energy without anion corrections = -0.82 eV per atom

Unit cell a=6.314 b=6.314 c=6.314 alpha=138.33 beta=138.33 gamma=60.40
Atoms (fractional coordinates):
1 Cs 0.000 0.000 0.000
2 Rb 0.701 0.701 0.000
3 S 0.340 0.340 0.000

=====

[4]
Compound: Pm3YSb2C
Source: the Alexandria database
Functional: PBE
Structure: relaxed

Properties
Calculated total energy = -43.6 eV for the cell shown
Total moment = 0.00 μB per cell
Formation energy without anion corrections = -0.78 eV per atom

Unit cell a=8.826 b=8.826 c=8.826 alpha=148.34 beta=147.61 gamma=45.92
Atoms (fractional coordinates):
1 Pm 0.000 0.000 0.000
2 Pm 0.339 0.839 0.500
3 Pm 0.661 0.161 0.500
4 Y 0.500 0.500 0.000
5 Sb 0.140 0.640 0.500
6 Sb 0.860 0.360 0.500
7 C 0.500 0.000 0.500

=====

[5]
Compound: Lu2NbC
Source: the Alexandria database
Functional: PBE
Structure: relaxed

Properties
Calculated total energy = -27.3 eV for the cell shown
Total moment = 0.88 μB per cell
Energy of formation from the pure elements = 0.255 eV per atom

Unit cell a=8.941 b=8.941 c=8.941 alpha=21.35 beta=21.35 gamma=21.35
Atoms (fractional coordinates):
1 Lu 0.116 0.116 0.116
2 Lu 0.884 0.884 0.884
3 Nb 0.000 0.000 0.000
4 C 0.500 0.500 0.500

=====

[6]
Compound: MoSe3
Source: the Alexandria database
Functional: PBE
Structure: relaxed

Properties
Calculated total energy = -20.9 eV for the cell shown
Total moment = 0.00 μB per cell
Formation energy without anion corrections = 0.09 eV per atom

Unit cell a=6.658 b=6.658 c=6.658 alpha=152.87 beta=140.46 gamma=48.62
Atoms (fractional coordinates):
1 Mo 0.000 0.000 0.000
2 Se 0.170 0.670 0.500
3 Se 0.500 0.500 0.000
4 Se 0.830 0.330 0.500

=====

[7]
Compound: Ca2TmMg
Source: the Alexandria database
Functional: PBE
Structure: relaxed

Properties
ΔE to the lowest computed polymorph = 155 meV/atom
Calculated total energy = -9.1 eV for the cell shown
Total moment = 0.65 μB per cell
Energy of formation from the pure elements = 0.244 eV per atom

Unit cell a=12.571 b=12.571 c=12.571 alpha=16.26 beta=16.26 gamma=16.26
Atoms (fractional coordinates):
1 Ca 0.091 0.091 0.091
2 Ca 0.909 0.909 0.909
3 Tm 0.000 0.000 0.000
4 Mg 0.500 0.500 0.500

=====

[8]
Compound: LaInTe2I
Source: the Alexandria database
Functional: PBE
Structure: relaxed

Properties
ΔE to the lowest computed polymorph = 235 meV/atom
Calculated total energy = -17.5 eV for the cell shown
Total moment = 0.26 μB per cell
Formation energy without anion corrections = -0.39 eV per atom

Unit cell a=5.745 b=5.745 c=5.663 alpha=90.00 beta=90.00 gamma=90.00
Atoms (fractional coordinates):
1 La 0.000 0.000 0.000
2 In 0.500 0.500 0.500
3 Te 0.000 0.500 0.500
4 Te 0.500 0.000 0.500
5 I 0.500 0.500 0.000